[1]
VASP calculation (PBE) on an optimized crystal structure of Ga2WAu.

Cell: 4.4940 4.4940 4.4940 Å, 60.00 60.00 60.00°
Closest atoms and distances in Å follow each position.
Sites, in units of the cell vectors:
1 Au 0.5000 0.5000 0.5000  8 Ga 2.75
2 Ga 0.2500 0.2500 0.2500  4 Au 2.75, 4 W 2.75
3 Ga 0.7500 0.7500 0.7500  4 Au 2.75, 4 W 2.75
4 W 0.0000 0.0000 0.0000  8 Ga 2.75

Output
As for the space group: No. 225. The value obtained for the total energy is -0.19149 Ha/atom. The calculation puts the calculated density at 13.46 g/cm3. The energy of formation comes out at 0.3604 eV/atom. Its energy relative to the lowest polymorph listed for this composition is 0.0 meV/atom.


[2]
VASP calculation (PBE) on an optimized crystal structure of Ga3WAu.

Cell: 4.9161 4.9161 4.9161 Å, 90.00 90.00 90.00°
Closest atoms and distances in Å follow each position.
Sites, in units of the cell vectors:
1 Au 0.5000 0.5000 0.5000  12 Ga 3.48
2 Ga 0.0000 0.5000 0.0000  2 W 2.46
3 Ga 0.0000 0.0000 0.5000  2 W 2.46
4 Ga 0.5000 0.0000 0.0000  2 W 2.46
5 W 0.0000 0.0000 0.0000  6 Ga 2.46

Output
As for the space group: No. 221. The value obtained for the total energy is -0.15866 Ha/atom. The calculation puts the calculated density at 8.25 g/cm3. The energy of formation comes out at 0.7448 eV/atom. Its energy relative to the lowest polymorph listed for this composition is 0.0 meV/atom.


[3]
VASP calculation (PBE) on an optimized crystal structure of Ga2WAu.

Cell: 7.0124 7.0124 5.7317 Å, 52.29 52.29 90.00°
Closest atoms and distances in Å follow each position.
Sites, in units of the cell vectors:
1 Au 0.0000 0.0000 0.0000  4 Ga 2.54
2 Au 0.7500 0.2500 0.5000  4 Ga 2.54
3 Ga 0.6327 0.1250 0.2500  2 Au 2.54, 2 W 2.62
4 Ga 0.1173 0.6250 0.2500  2 Au 2.54, 2 W 2.62
5 Ga 0.3750 0.3673 0.7500  2 Au 2.54, 2 W 2.62
6 Ga 0.8750 0.8827 0.7500  2 Au 2.54, 2 W 2.62
7 W 0.5000 0.5000 0.0000  4 Ga 2.62, 2 Au 2.87
8 W 0.2500 0.7500 0.5000  4 Ga 2.62, 2 Au 2.87

Output
As for the space group: No. 122. The value obtained for the total energy is -0.18615 Ha/atom. The calculation puts the calculated density at 12.22 g/cm3. The energy of formation comes out at 0.5058 eV/atom. Its energy relative to the lowest polymorph listed for this composition is 145.4 meV/atom.


[4]
VASP calculation (PBE) on an optimized crystal structure of GaWAu2.

Cell: 3.8065 3.8065 10.3605 Å, 79.41 79.41 90.00°
Closest atoms and distances in Å follow each position.
Sites, in units of the cell vectors:
1 Au 0.6254 0.1250 0.2500  4 Au 2.69, 2 W 2.84, 2 Ga 2.84
2 Au 0.1246 0.6250 0.2500  4 Au 2.69, 2 W 2.84, 2 Ga 2.84
3 Au 0.3750 0.3746 0.7500  4 Au 2.69, 2 W 2.84, 2 Ga 2.84
4 Au 0.8750 0.8754 0.7500  4 Au 2.69, 2 W 2.84, 2 Ga 2.84
5 Ga 0.5000 0.5000 0.0000  4 W 2.69, 4 Au 2.84
6 Ga 0.2500 0.7500 0.5000  4 W 2.69, 4 Au 2.84
7 W 0.0000 0.0000 0.0000  4 Ga 2.69, 4 Au 2.84
8 W 0.7500 0.2500 0.5000  4 Ga 2.69, 4 Au 2.84

Output
As for the space group: No. 122. The value obtained for the total energy is -0.18688 Ha/atom. The calculation puts the calculated density at 14.83 g/cm3. The energy of formation comes out at 0.5484 eV/atom.


Q: energy of formation of number 1 (Ga2WAu)?
A: 0.3604 eV/atom


Q: Which value of energy of formation does entry 2 give?
A: 0.7448 eV/atom